(1)
The following is a DFT calculation (PBE) of a relaxed structure of Li5B8C8.

Output
N(E_F), states/eV per cell: 3.44
Polymorph energy (0 for the lowest one), meV/atom: 3
Total magnetic moment, Bohr magnetons per cell: 0.000
Space-group type: P2/m (10)

Cell: 8.612 2.740 8.753 Å, 90.00 116.12 90.00°
Element x y z (fractional)
Li: 0.000 0.000 0.000
Li: 0.255 0.000 0.763
Li: 0.270 0.500 0.286
Li: 0.730 0.500 0.714
Li: 0.745 0.000 0.237
B: 0.040 0.500 0.803
B: 0.182 0.000 0.468
B: 0.301 0.000 0.057
B: 0.451 0.500 0.690
B: 0.549 0.500 0.310
B: 0.699 0.000 0.943
B: 0.818 0.000 0.532
B: 0.960 0.500 0.197
C: 0.038 0.000 0.276
C: 0.216 0.500 0.974
C: 0.258 0.500 0.547
C: 0.464 0.000 0.235
C: 0.536 0.000 0.765
C: 0.742 0.500 0.453
C: 0.784 0.500 0.026
C: 0.962 0.000 0.724


(2)
The following is a DFT calculation (PBE) of a relaxed structure of SrPr3Os.

Output
N(E_F), states/eV per cell: 2.86
Total magnetic moment, Bohr magnetons per cell: 0.000
Space-group type: Pm-3m (221)

Cell: 5.736 5.736 5.736 Å, 90.00 90.00 90.00°
Element x y z (fractional)
Sr: 0.000 0.000 0.000
Pr: 0.000 0.500 0.500
Pr: 0.500 0.000 0.500
Pr: 0.500 0.500 0.000
Os: 0.500 0.500 0.500


(3)
The following is a DFT calculation (PBE) of a relaxed structure of In2IrSe.

Output
N(E_F), states/eV per cell: 2.00
Total magnetic moment, Bohr magnetons per cell: 0.000
Space-group type: I-4m2 (119)

Cell: 5.111 5.111 5.111 Å, 128.22 128.22 76.27°
Element x y z (fractional)
In: 0.000 0.000 0.000
In: 0.750 0.250 0.500
Ir: 0.250 0.750 0.500
Se: 0.500 0.500 0.000


(4)
The following is a DFT calculation (PBE) of a relaxed structure of Sc2AgBi2.

Output
N(E_F), states/eV per cell: 10.18
Polymorph energy (0 for the lowest one), meV/atom: 4
Total magnetic moment, Bohr magnetons per cell: 0.000
Space-group type: P4/mbm (127)

Cell: 7.823 7.823 4.127 Å, 90.00 90.00 90.00°
Element x y z (fractional)
Sc: 0.146 0.354 0.000
Sc: 0.354 0.854 0.000
Sc: 0.646 0.146 0.000
Sc: 0.854 0.646 0.000
Ag: 0.000 0.000 0.000
Ag: 0.500 0.500 0.000
Bi: 0.163 0.663 0.500
Bi: 0.337 0.163 0.500
Bi: 0.663 0.837 0.500
Bi: 0.837 0.337 0.500


(5)
The following is a DFT calculation (PBE) of a relaxed structure of Ga2Co2Bi.

Output
N(E_F), states/eV per cell: 5.77
Polymorph energy (0 for the lowest one), meV/atom: 60
Total magnetic moment, Bohr magnetons per cell: 0.000
Space-group type: P4/mbm (127)

Cell: 7.291 7.291 2.946 Å, 90.00 90.00 90.00°
Element x y z (fractional)
Ga: 0.138 0.362 0.000
Ga: 0.362 0.862 0.000
Ga: 0.638 0.138 0.000
Ga: 0.862 0.638 0.000
Co: 0.150 0.650 0.500
Co: 0.350 0.150 0.500
Co: 0.650 0.850 0.500
Co: 0.850 0.350 0.500
Bi: 0.000 0.000 0.500
Bi: 0.500 0.500 0.500


(6)
The following is a DFT calculation (PBE) of a relaxed structure of ZnInCl3.

Output
N(E_F), states/eV per cell: 0.00
Polymorph energy (0 for the lowest one), meV/atom: 0
Total magnetic moment, Bohr magnetons per cell: 0.000
Space-group type: P1 (1)

Cell: 6.315 6.680 8.207 Å, 69.42 88.58 83.42°
Element x y z (fractional)
Zn: 0.000 0.000 0.000
Zn: 0.493 0.133 0.700
In: 0.036 0.726 0.598
In: 0.545 0.488 0.104
Cl: 0.024 0.655 0.014
Cl: 0.336 0.401 0.471
Cl: 0.341 0.119 0.968
Cl: 0.511 0.803 0.682
Cl: 0.836 0.221 0.734
Cl: 0.853 0.061 0.233


(7)
The following is a DFT calculation (PBE) of a relaxed structure of Er2ScIn2.

Output
N(E_F), states/eV per cell: 9.88
Polymorph energy (0 for the lowest one), meV/atom: 0
Total magnetic moment, Bohr magnetons per cell: 0.001
Space-group type: P4/mbm (127)

Cell: 7.842 7.842 4.376 Å, 90.00 90.00 90.00°
Element x y z (fractional)
Er: 0.173 0.327 0.000
Er: 0.327 0.827 0.000
Er: 0.673 0.173 0.000
Er: 0.827 0.673 0.000
Sc: 0.000 0.000 0.500
Sc: 0.500 0.500 0.500
In: 0.131 0.631 0.500
In: 0.369 0.131 0.500
In: 0.631 0.869 0.500
In: 0.869 0.369 0.500


(8)
The following is a DFT calculation (PBE) of a relaxed structure of Ac8As4P3Cl.

Output
N(E_F), states/eV per cell: 4.77
Total magnetic moment, Bohr magnetons per cell: 0.000
Space-group type: R-3m (166)

Cell: 8.957 8.957 8.957 Å, 60.14 60.14 60.14°
Element x y z (fractional)
Ac: 0.240 0.755 0.755
Ac: 0.245 0.245 0.760
Ac: 0.245 0.760 0.245
Ac: 0.248 0.248 0.248
Ac: 0.752 0.752 0.752
Ac: 0.755 0.240 0.755
Ac: 0.755 0.755 0.240
Ac: 0.760 0.245 0.245
As: 0.000 0.000 0.000
As: 0.000 0.500 0.500
As: 0.500 0.000 0.500
As: 0.500 0.500 0.000
P: 0.000 0.000 0.500
P: 0.000 0.500 0.000
P: 0.500 0.000 0.000
Cl: 0.500 0.500 0.500


| no. | calculated total energy (eV per cell) |
| --- | --- |
| 1 | -139.77 |
| 2 | -27.08 |
| 3 | -16.53 |
| 4 | -49.58 |
| 5 | -47.23 |
| 6 | -29.36 |
| 7 | -45.46 |
| 8 | -94.04 |